This record from Alexandria describes a relaxed structure of Zr3CdH. The functional is PBE.

## Properties
D(E_F) = 3.8 states/eV/f.u.
Total DFT energy (no corrections) = -6.164 eV/atom
Energy relative to the lowest polymorph listed for this composition = 0.29 eV per formula unit
Space group = P1 (1)

Cell lengths 9.525, 3.112, 6.987 Å; angles 63.79, 90.01, 90.02 degrees
Atoms (fractional coordinates):
Cd1 0.895 0.539 0.186
Cd2 0.904 0.039 0.686
H1 0.534 0.041 0.186
Zr1 0.404 0.038 0.686
Zr2 0.148 0.290 0.935
H2 0.177 0.540 0.186
Zr3 0.660 0.783 0.442
Zr4 0.660 0.295 0.930
Zr5 0.396 0.541 0.186
Zr6 0.148 0.788 0.437